Arrangement a

Crystalline CoReB at its relaxed geometry. Source: Alexandria via LeMat-Bulk, functional GGA-PBE.

Lattice parameters (Å, degrees): 2.8046 2.8046 14.2993 90.00 90.00 120.00
Closest atoms and distances in Å follow each position.
Space group R3m (No. 160, hexagonal axes)
Symmetry-distinct sites (fractional):
Co 0.0000 0.0000 0.0000 x3  3 B 2.01
Re 0.0000 0.0000 0.8102 x3  3 B 2.22
B 0.0000 0.0000 0.5836 x3  3 Co 2.01, 3 Re 2.22

Computed properties:
The calculated volume is 32 Å³/f.u. Its density of states at the Fermi level is 4.863 states/eV/cell.


Arrangement b

Crystalline CoReB at its relaxed geometry. Source: Alexandria via LeMat-Bulk, functional GGA-PBE.

Lattice parameters (Å, degrees): 4.0319 4.0461 4.2565 104.86 104.75 91.31
Closest atoms and distances in Å follow each position.
Space group P1 (No. 1)
Symmetry-distinct sites (fractional):
Co 0.0000 0.0000 0.0000 x1  3 B 2.03-2.15
Co 0.4964 0.3945 0.9659 x1  3 B 2.06-2.15
Re 0.3834 0.7924 0.5505 x1  4 B 2.13-2.29
Re 0.8833 0.3374 0.5661 x1  3 B 2.18-2.31
B 0.5135 0.9446 0.1097 x1  1 B 1.73
B 0.8424 0.7656 0.3385 x1  1 B 1.73

Computed properties:
The calculated volume is 32 Å³/f.u. Its density of states at the Fermi level is 4.301 states/eV/cell.


Least stable structure: arrangement a


Arrangement a

Crystalline CoReB at its relaxed geometry. Source: Alexandria via LeMat-Bulk, functional GGA-PBE.

Lattice parameters (Å, degrees): 8.4988 2.9665 6.2058 90.00 126.99 90.00
Closest atoms and distances in Å follow each position.
Space group Cm (No. 8)
Symmetry-distinct sites (fractional):
Co 0.0000 0.0000 0.0000 x2  2 B 1.99
Co 0.1032 0.5000 0.7547 x2  4 B 2.07-2.19
Re 0.2619 0.5000 0.4745 x2  5 B 2.31-2.48
Re 0.3582 0.0000 0.2056 x2  3 B 2.16-2.31
B 0.0616 0.0000 0.4922 x2  1 B 1.79
B 0.3094 0.0000 0.7963 x2  1 B 1.79, 2 Co 1.99

Computed properties:
The calculated volume is 31 Å³/f.u. Its density of states at the Fermi level is 9.659 states/eV/cell.


Arrangement b

Crystalline CoReB at its relaxed geometry. Source: Alexandria via LeMat-Bulk, functional GGA-PBE.

Lattice parameters (Å, degrees): 3.7188 4.0876 4.3993 76.97 80.99 89.71
Closest atoms and distances in Å follow each position.
Space group P-1 (No. 2)
Symmetry-distinct sites (fractional):
Co 0.2001 0.4559 0.1983 x2  3 B 2.00-2.12
Re 0.2982 0.0485 0.7882 x2  3 B 2.16-2.27
B 0.3259 0.6005 0.6036 x2  1 B 1.77

Computed properties:
The calculated volume is 32 Å³/f.u. Its density of states at the Fermi level is 5.434 states/eV/cell.


Least stable structure: arrangement b


Arrangement a

Crystalline CoReB2 at its relaxed geometry. Source: Alexandria via LeMat-Bulk, functional GGA-PBE.

Lattice parameters (Å, degrees): 3.4803 3.4803 13.7380 90.00 90.00 90.00
Closest atoms and distances in Å follow each position.
Space group I-42d (No. 122)
Symmetry-distinct sites (fractional):
Co 0.0000 0.0000 0.0000 x4  4 B 1.96
Re 0.0000 0.0000 0.5000 x4  4 B 2.37, 4 Co 2.46
B 0.1015 0.2500 0.1250 x8  2 B 1.88, 2 Co 1.96

Computed properties:
The calculated volume is 42 Å³/f.u. Its density of states at the Fermi level is 11.137 states/eV/cell.


Arrangement b

Crystalline CoReB2 at its relaxed geometry. Source: Alexandria via LeMat-Bulk, functional GGA-PBE.

Lattice parameters (Å, degrees): 5.2792 5.2792 5.2792 90.00 90.00 90.00
Closest atoms and distances in Å follow each position.
Space group Fm-3m (No. 225)
Symmetry-distinct sites (fractional):
Co 0.0000 0.0000 0.0000 x4  8 B 2.29
Re 0.0000 0.0000 0.5000 x4  8 B 2.29
B 0.2500 0.2500 0.2500 x8  4 Co 2.29, 4 Re 2.29

Computed properties:
The calculated volume is 37 Å³/f.u. Its density of states at the Fermi level is 18.639 states/eV/cell.


Least stable structure: arrangement a